Entry 1:
# Nd6Y2Er3Sc

A relaxed Nd6Y2Er3Sc crystal (GGA-PBE, the Alexandria database).

a b c (Å): 6.2299 6.2299 11.7348
angles (deg): 95.07 95.07 119.99
Fractional positions:
Nd1 0.2472 0.2472 0.7509
Nd2 0.0827 0.4125 0.2491
Nd3 0.9173 0.5875 0.7509
Nd4 0.5875 0.9173 0.7509
Nd5 0.7528 0.7528 0.2491
Nd6 0.4125 0.0827 0.2491
Y1 0.3333 0.6667 0.0000
Y2 0.6667 0.3333 0.0000
Er1 0.5000 0.5000 0.5000
Er2 0.8334 0.1666 0.5000
Er3 0.1666 0.8334 0.5000
Sc1 0.0000 0.0000 0.0000

Output
**Density**: 6.80 g/cm3
**Formation energy from the elements**: 0.02 eV per atom
**Total moment**: 0.000 Bohr magnetons per cell
**E_tot**: -0.188 hartree per atom


Entry 2:
# Nd5YEr2Sc

A relaxed Nd5YEr2Sc crystal (GGA-PBE, the Alexandria database).

a b c (Å): 5.3711 11.2663 10.2453
angles (deg): 90.00 90.00 103.79
Fractional positions:
Nd1 0.5001 0.0003 0.7579
Nd2 0.4999 0.9997 0.2579
Nd3 0.2789 0.5578 0.6968
Nd4 0.9988 0.9976 0.0080
Nd5 0.7216 0.4432 0.8206
Nd6 0.0012 0.0024 0.5080
Nd7 0.2784 0.5568 0.3206
Nd8 0.3736 0.7472 0.0081
Nd9 0.6264 0.2528 0.5081
Nd10 0.7211 0.4422 0.1968
Y1 0.3984 0.7969 0.5081
Y2 0.6016 0.2031 0.0081
Er1 0.8840 0.7681 0.2605
Er2 0.8845 0.7690 0.7555
Er3 0.1155 0.2310 0.2555
Er4 0.1160 0.2319 0.7605
Sc1 0.2138 0.4275 0.0086
Sc2 0.7862 0.5725 0.5086

Output
**Density**: 6.56 g/cm3
**Formation energy from the elements**: 0.13 eV per atom
**Total moment**: 0.000 Bohr magnetons per cell
**E_tot**: -0.182 hartree per atom


Entry 3:
# NdYErSc

A relaxed NdYErSc crystal (GGA-PBE, the Alexandria database).

a b c (Å): 5.5784 5.5784 5.5784
angles (deg): 60.00 60.00 60.00
Fractional positions:
Er1 0.2500 0.2500 0.2500
Sc1 0.7500 0.7500 0.7500
Y1 0.5000 0.5000 0.5000
Nd1 0.0000 0.0000 0.0000

Output
**Energy above the lowest structure with this stoichiometry**: 3.9 meV/atom
**Density**: 6.02 g/cm3
**Formation energy from the elements**: 0.11 eV per atom
**Total moment**: 0.000 Bohr magnetons per cell
**E_tot**: -0.199 hartree per atom


Entry 4:
# NdY6Er2Sc3

A relaxed NdY6Er2Sc3 crystal (GGA-PBE, the Alexandria database).

a b c (Å): 6.0720 6.0720 11.5283
angles (deg): 95.03 95.03 119.98
Fractional positions:
Y1 0.7527 0.7527 0.2598
Y2 0.2473 0.2473 0.7402
Y3 0.4204 0.0865 0.2597
Y4 0.5796 0.9135 0.7403
Y5 0.9135 0.5796 0.7403
Y6 0.0865 0.4204 0.2597
Sc1 0.1671 0.8329 0.5000
Sc2 0.8329 0.1671 0.5000
Sc3 0.5000 0.5000 0.5000
Er1 0.3334 0.6666 0.0000
Er2 0.6666 0.3334 0.0000
Nd1 0.0000 0.0000 0.0000

Output
**Density**: 5.25 g/cm3
**Formation energy from the elements**: 0.05 eV per atom
**Total moment**: 0.006 Bohr magnetons per cell
**E_tot**: -0.218 hartree per atom


> Among the records above, which one has the highest density?

Nd6Y2Er3Sc